Material: NaTeS4
Method: DFT, PBE-GGA
State: relaxed

Unit cell a=8.0767 b=15.2366 c=11.1845 alpha=110.54 beta=74.81 gamma=156.18
Positions (direct):
S 0.4578 0.2296 0.4165
S 0.2360 0.8178 0.9307
S 0.7640 0.1822 0.0693
S 0.6948 0.6129 0.9307
S 0.5422 0.7704 0.5835
S 0.0413 0.3132 0.5835
S 0.9587 0.6868 0.4165
S 0.3052 0.3871 0.0693
Na 0.7162 0.9662 0.4325
Na 0.2838 0.0338 0.5675
Te 0.2212 0.4712 0.4425
Te 0.7788 0.5288 0.5575

Output
DOS at the Fermi energy, states/eV per cell: 2.10
Uncorrected formation energy, eV/atom: -0.178

***

Material: NaTe2S
Method: DFT, PBE-GGA
State: relaxed

Unit cell a=10.0513 b=10.0513 c=10.0513 alpha=21.27 beta=21.27 gamma=21.27
Positions (direct):
S 0.5000 0.5000 0.5000
Te 0.1021 0.1021 0.1021
Te 0.8979 0.8979 0.8979
Na 0.0000 0.0000 0.0000

Output
DOS at the Fermi energy, states/eV per cell: 2.91
Uncorrected formation energy, eV/atom: 0.228

***

Material: Na2TeS4
Method: DFT, PBE-GGA
State: relaxed

Unit cell a=3.7792 b=7.7480 c=10.8796 alpha=90.00 beta=90.00 gamma=90.00
Positions (direct):
S 0.5000 0.2804 0.9355
S 0.5000 0.7804 0.5645
S 0.0000 0.3737 0.2096
S 0.0000 0.6263 0.7904
S 0.0000 0.8737 0.2904
S 0.5000 0.2196 0.4355
S 0.5000 0.7196 0.0645
S 0.0000 0.1263 0.7096
Na 0.5000 0.3979 0.6787
Na 0.5000 0.6021 0.3213
Na 0.5000 0.1021 0.1787
Na 0.5000 0.8979 0.8213
Te 0.0000 0.5000 0.0000
Te 0.0000 0.0000 0.5000

Output
DOS at the Fermi energy, states/eV per cell: 6.94
E above lowest polymorph, meV per atom: 0.0
Uncorrected formation energy, eV/atom: -0.316

***

Material: Na5Te2S5
Method: DFT, PBE-GGA
State: relaxed

Unit cell a=3.7806 b=7.2084 c=11.5766 alpha=105.66 beta=90.00 gamma=105.20
Positions (direct):
S 0.3016 0.6032 0.1910
S 0.8850 0.7699 0.5850
S 0.0000 0.0000 0.0000
S 0.1150 0.2301 0.4150
S 0.6984 0.3968 0.8090
Na 0.2564 0.5128 0.6555
Na 0.5000 0.0000 0.5000
Na 0.6589 0.3179 0.0427
Na 0.3411 0.6821 0.9573
Na 0.7436 0.4872 0.3445
Te 0.0205 0.0410 0.7749
Te 0.9795 0.9590 0.2251

Output
DOS at the Fermi energy, states/eV per cell: 4.42
Uncorrected formation energy, eV/atom: -0.559

***

Material: Na3Te4S8
Method: DFT, PBE-GGA
State: relaxed

Unit cell a=7.8239 b=7.9805 c=7.9805 alpha=92.50 beta=118.11 gamma=118.11
Positions (direct):
S 0.0000 0.7630 0.2370
S 0.5000 0.2365 0.7635
S 0.9873 0.2406 0.2406
S 0.5348 0.7768 0.7768
S 0.4652 0.2232 0.2232
S 0.5000 0.7635 0.2365
S 0.0000 0.2370 0.7630
S 0.0127 0.7594 0.7594
Na 0.5000 0.5000 0.5000
Na 0.5000 0.5000 0.0000
Na 0.5000 0.0000 0.5000
Te 0.5000 0.0000 0.0000
Te 0.0000 0.5000 0.0000
Te 0.0000 0.0000 0.0000
Te 0.0000 0.0000 0.5000

Output
DOS at the Fermi energy, states/eV per cell: 3.77
Uncorrected formation energy, eV/atom: -0.280

***

Material: NaTe3S
Method: DFT, PBE-GGA
State: relaxed

Unit cell a=5.4549 b=5.4549 c=5.4549 alpha=90.00 beta=90.00 gamma=90.00
Site moments in Bohr magnetons follow the coordinates.
Positions (direct):
Te 0.0000 0.5000 0.0000  0.02
Te 0.0000 0.0000 0.5000  0.05
Te 0.5000 0.0000 0.0000  0.05
S 0.5000 0.5000 0.5000  0.78
Na 0.0000 0.0000 0.0000  0.00

Output
DOS at the Fermi energy, states/eV per cell: 7.10
E above lowest polymorph, meV per atom: 856.5
Uncorrected formation energy, eV/atom: 0.918

***

Material: NaTe3S
Method: DFT, PBE-GGA
State: relaxed

Unit cell a=5.3516 b=5.3516 c=5.3516 alpha=90.00 beta=90.00 gamma=90.00
Positions (direct):
S 0.0000 0.0000 0.0000
Te 0.0000 0.0000 0.5000
Te 0.5000 0.0000 0.0000
Te 0.0000 0.5000 0.0000
Na 0.5000 0.5000 0.5000

Output
DOS at the Fermi energy, states/eV per cell: 3.18
E above lowest polymorph, meV per atom: 0.0
Uncorrected formation energy, eV/atom: 0.062

***

Material: NaTe2S
Method: DFT, PBE-GGA
State: relaxed

Unit cell a=6.3124 b=6.3124 c=8.7681 alpha=68.90 beta=68.90 gamma=90.00
Positions (direct):
Te 0.7067 0.1250 0.2500
Te 0.0433 0.6250 0.2500
Te 0.8750 0.9567 0.7500
Te 0.3750 0.2933 0.7500
S 0.0000 0.0000 0.0000
S 0.7500 0.2500 0.5000
Na 0.2500 0.7500 0.5000
Na 0.5000 0.5000 0.0000

Output
DOS at the Fermi energy, states/eV per cell: 6.27
Uncorrected formation energy, eV/atom: -0.005

***

Material: NaTe2S
Method: DFT, PBE-GGA
State: relaxed

Unit cell a=10.0913 b=10.0913 c=10.0913 alpha=20.90 beta=20.90 gamma=20.90
Positions (direct):
Te 0.9148 0.9148 0.9148
Te 0.0852 0.0852 0.0852
Na 0.5000 0.5000 0.5000
S 0.0000 0.0000 0.0000

Output
DOS at the Fermi energy, states/eV per cell: 2.31
Uncorrected formation energy, eV/atom: 0.096

***

Material: Na4TeS
Method: DFT, PBE-GGA
State: relaxed

Unit cell a=6.9871 b=6.9871 c=8.4595 alpha=114.39 beta=114.39 gamma=90.00
Positions (direct):
Na 0.1488 0.1250 0.7500
Na 0.3750 0.8512 0.2500
Na 0.3750 0.3988 0.2500
Na 0.6012 0.1250 0.7500
Na 0.8750 0.3988 0.2500
Na 0.1488 0.6250 0.7500
Na 0.6012 0.6250 0.7500
Na 0.8750 0.8512 0.2500
Te 0.7500 0.2500 0.5000
Te 0.0000 0.0000 0.0000
S 0.5000 0.5000 0.0000
S 0.2500 0.7500 0.5000

Output
DOS at the Fermi energy, states/eV per cell: 0.00
E above lowest polymorph, meV per atom: 0.0
Uncorrected formation energy, eV/atom: -0.977

***

Material: Na2TeS4
Method: DFT, PBE-GGA
State: relaxed

Unit cell a=5.1231 b=5.1231 c=7.9601 alpha=71.23 beta=71.23 gamma=90.00
Positions (direct):
S 0.5000 0.0000 0.0000
S 0.1743 0.1743 0.6515
S 0.0000 0.5000 0.0000
S 0.8257 0.8257 0.3485
Na 0.3724 0.3724 0.2552
Na 0.6276 0.6276 0.7448
Te 0.0000 0.0000 0.0000

Output
DOS at the Fermi energy, states/eV per cell: 6.28
E above lowest polymorph, meV per atom: 205.0
Uncorrected formation energy, eV/atom: -0.111

***

Material: Na3TeS4
Method: DFT, PBE-GGA
State: relaxed

Unit cell a=3.7410 b=7.0796 c=7.0796 alpha=105.92 beta=90.00 gamma=90.00
Positions (direct):
S 0.0000 0.7766 0.7766
S 0.0000 0.2234 0.2234
S 0.5000 0.7673 0.2327
S 0.5000 0.2327 0.7673
Na 0.5000 0.5000 0.5000
Na 0.0000 0.0000 0.5000
Na 0.0000 0.5000 0.0000
Te 0.5000 0.0000 0.0000

Output
DOS at the Fermi energy, states/eV per cell: 5.64
Uncorrected formation energy, eV/atom: -0.556